# 1
A geometry-optimized UTaMo structure, computed with PBE.

Summary:
The value obtained for the distance to the lowest polymorph of the same formula is 0 meV/atom. Its crystal system is trigonal. For the total magnetization, the calculation gives 0.74 μB/f.u. Its total DFT energy (no corrections) is -11.114 eV/atom. As for the calculated formation energy: 210 meV/atom.

a = 2.908 Å, b = 4.667 Å, c = 4.667 Å
α = 120.00°, β = 90.00°, γ = 90.00°
Each line ends with the local moment (μB).
Element x y z (fractional)
1 Mo 0.042 0.000 0.000  -0.02
2 U 0.302 0.333 0.667  0.74
3 Ta 0.656 0.667 0.333  0.01

=====

# 2
A geometry-optimized UTaMo structure, computed with PBE.

Summary:
The value obtained for the distance to the lowest polymorph of the same formula is 58 meV/atom. Its crystal system is tetragonal. For the total magnetization, the calculation gives 1.53 μB/f.u. Its total DFT energy (no corrections) is -11.056 eV/atom. As for the calculated formation energy: 268 meV/atom.

a = 3.261 Å, b = 3.261 Å, c = 5.892 Å
α = 106.07°, β = 106.07°, γ = 90.00°
Each line ends with the local moment (μB).
Element x y z (fractional)
1 Ta 0.934 0.934 0.867  -0.02
2 U 0.626 0.626 0.251  1.47
3 Mo 0.291 0.291 0.581  -0.04

=====

# 3
A geometry-optimized UTa2Mo structure, computed with PBE.

Summary:
The value obtained for the distance to the lowest polymorph of the same formula is 39 meV/atom. Its crystal system is tetragonal. For the total magnetization, the calculation gives 0.03 μB/f.u. Its total DFT energy (no corrections) is -11.191 eV/atom. As for the calculated formation energy: 265 meV/atom.

a = 3.203 Å, b = 4.804 Å, c = 4.804 Å
α = 90.00°, β = 90.00°, γ = 90.00°
Element x y z (fractional)
1 Ta 0.000 0.500 0.000
2 Mo 0.500 0.000 0.000
3 Ta 0.000 0.000 0.500
4 U 0.500 0.500 0.500

=====

# 4
A geometry-optimized UTaMo2 structure, computed with PBE.

Summary:
The value obtained for the distance to the lowest polymorph of the same formula is 0 meV/atom. Its crystal system is cubic. For the total magnetization, the calculation gives 0.19 μB/f.u. Its total DFT energy (no corrections) is -11.113 eV/atom. As for the calculated formation energy: 87 meV/atom.

a = 4.664 Å, b = 4.664 Å, c = 4.664 Å
α = 60.00°, β = 60.00°, γ = 60.00°
Each line ends with the local moment (μB).
Element x y z (fractional)
1 U 0.000 0.000 0.000  0.24
2 Mo 0.250 0.250 0.250  -0.02
3 Mo 0.750 0.750 0.750  -0.02
4 Ta 0.500 0.500 0.500  -0.01

=====

# 5
A geometry-optimized UTaMo2 structure, computed with PBE.

Summary:
The value obtained for the distance to the lowest polymorph of the same formula is 18 meV/atom. Its crystal system is tetragonal. For the total magnetization, the calculation gives 0.72 μB/f.u. Its total DFT energy (no corrections) is -11.095 eV/atom. As for the calculated formation energy: 106 meV/atom.

a = 3.313 Å, b = 3.313 Å, c = 6.528 Å
α = 90.00°, β = 90.00°, γ = 90.00°
Each line ends with the local moment (μB).
Element x y z (fractional)
1 Mo 0.000 0.000 0.750  -0.03
2 Mo 0.000 0.000 0.250  -0.03
3 Ta 0.500 0.500 0.500  0.03
4 U 0.500 0.500 0.000  0.69

=====

# 6
A geometry-optimized UTaVMo structure, computed with PBE.

Summary:
Its crystal system is cubic. For the total magnetization, the calculation gives 0.00 μB/f.u. Its total DFT energy (no corrections) is -10.639 eV/atom. As for the calculated formation energy: 134 meV/atom.

a = 4.611 Å, b = 4.611 Å, c = 4.611 Å
α = 60.00°, β = 60.00°, γ = 60.00°
Element x y z (fractional)
1 Mo 0.000 0.000 0.000
2 U 0.750 0.750 0.750
3 V 0.500 0.500 0.500
4 Ta 0.250 0.250 0.250

=====

# 7
A geometry-optimized TaVMo6 structure, computed with PBE.

Summary:
The value obtained for the distance to the lowest polymorph of the same formula is 306 meV/atom. Its crystal system is trigonal. For the total magnetization, the calculation gives 0.00 μB/f.u. Its total DFT energy (no corrections) is -10.562 eV/atom. As for the calculated formation energy: 183 meV/atom.

a = 5.581 Å, b = 5.581 Å, c = 5.581 Å
α = 110.32°, β = 110.32°, γ = 110.32°
Element x y z (fractional)
1 Mo 0.742 0.251 0.251
2 Mo 0.749 0.258 0.749
3 Mo 0.251 0.742 0.251
4 Mo 0.258 0.749 0.749
5 V 0.500 0.500 0.500
6 Ta 0.000 0.000 0.000
7 Mo 0.749 0.749 0.258
8 Mo 0.251 0.251 0.742

=====

# 8
A geometry-optimized Ta2VMo6 structure, computed with PBE.

Summary:
The value obtained for the distance to the lowest polymorph of the same formula is 0 meV/atom. Its crystal system is triclinic. For the total magnetization, the calculation gives 0.00 μB/f.u. Its total DFT energy (no corrections) is -10.990 eV/atom. As for the calculated formation energy: -123 meV/atom.

a = 4.487 Å, b = 5.265 Å, c = 7.113 Å
α = 113.83°, β = 108.27°, γ = 90.03°
Element x y z (fractional)
1 Mo 0.554 0.328 0.108
2 V 0.000 0.000 0.000
3 Mo 0.221 0.327 0.443
4 Ta 0.887 0.334 0.775
5 Mo 0.446 0.672 0.892
6 Mo 0.779 0.673 0.557
7 Mo 0.334 0.996 0.669
8 Mo 0.666 0.004 0.331
9 Ta 0.113 0.666 0.225